5
Lattice="4.936 0.000 0.000 0.000 5.618 0.000 0.000 0.000 4.936" Properties=species:S:1:pos:R:3 comment="SrGe2AsOs (GGA-PBE, optimized geometry)" formation_enthalpy_0k_ev_per_atom=1.21 sg="P4/mmm, No. 123" m_tot_mub_per_fu=1.77 crystal_system=tetragonal pbc="T T T"
As 0.000 0.000 0.000
Ge 0.000 0.000 2.468
Ge 2.468 0.000 0.000
Sr 0.000 2.809 0.000
Os 2.468 2.809 2.468